Record 1
B2C | PBE | relaxed

The space group is Cm (No. 8) and the conventional cell measures 16.9938, 2.7123 and 4.6784 Å, with angles of 90.00, 104.55 and 90.00 degrees. The asymmetric unit holds B at (0.0000, 0.0000, 0.0000), B at (0.0007, 0.5000, 0.3879), B at (0.0554, 0.0000, 0.7069), B at (0.0631, 0.5000, 0.1346), B at (0.1606, 0.5000, 0.9283), B at (0.1630, 0.0000, 0.4334), B at (0.3988, 0.5000, 0.7853), B at (0.4062, 0.5000, 0.1627), C at (0.1516, 0.0000, 0.7546), C at (0.1581, 0.5000, 0.2619), C at (0.3921, 0.0000, 0.6258) and C at (0.4021, 0.0000, 0.3258).

The formation energy is 0.33 eV per atom. As for the magnetic moment: 0.0 μB/cell. The calculation puts the total energy at -7.20 eV per atom.

Record 2
CaYTlHg | PBE | relaxed

The space group is F-43m (No. 216) and the conventional cell measures 7.5828, 7.5828 and 7.5828 Å, with angles of 90.00, 90.00 and 90.00 degrees. The asymmetric unit holds Ca at (0.0000, 0.0000, 0.0000), Y at (0.0000, 0.0000, 0.5000), Tl at (0.2500, 0.2500, 0.2500) and Hg at (0.2500, 0.2500, 0.7500).

The formation energy is -0.48 eV per atom. As for the magnetic moment: 0.0 μB/cell. The calculation puts the total energy at -3.26 eV per atom.

Record 3
Ac5Pr2Dy4 | PBE | relaxed

The space group is C2/m (No. 12) and the conventional cell measures 25.4199, 3.7677 and 9.0451 Å, with angles of 90.00, 95.91 and 90.00 degrees. The asymmetric unit holds Ac at (0.0000, 0.0000, 0.0000), Ac at (0.1341, 0.5000, 0.0471), Ac at (0.1822, 0.5000, 0.4759), Pr at (0.0851, 0.0000, 0.6875), Dy at (0.0373, 0.5000, 0.3477) and Dy at (0.2259, 0.0000, 0.8297).

The formation energy is 0.13 eV per atom. As for the magnetic moment: 0.0 μB/cell. The calculation puts the total energy at -4.28 eV per atom.